Compound: Cs3Ni5Br12
Source: Alexandria
Functional: PBE
Structure: optimized geometry

Computed properties:
Density of states at the Fermi level, states/eV/atom: 0.986
M_tot, μB/f.u.: 9.08
Space group: Ia-3d (230)
Formation energy from raw total energies, meV/atom: -630

Unit cell a=14.8182 b=14.8182 c=14.8182 alpha=109.47 beta=109.47 gamma=109.47
Atoms (fractional coordinates):
Cs1 0.1250 0.2500 0.3750
Cs2 0.1250 0.3750 0.7500
Cs3 0.2500 0.3750 0.1250
Cs4 0.2500 0.8750 0.6250
Cs5 0.3750 0.1250 0.2500
Cs6 0.3750 0.7500 0.1250
Cs7 0.6250 0.2500 0.8750
Cs8 0.6250 0.8750 0.7500
Cs9 0.7500 0.1250 0.3750
Cs10 0.7500 0.6250 0.8750
Cs11 0.8750 0.6250 0.2500
Cs12 0.8750 0.7500 0.6250
Ni1 0.0000 0.0000 0.0000
Ni2 0.0000 0.0000 0.5000
Ni3 0.0000 0.5000 0.0000
Ni4 0.0000 0.5000 0.5000
Ni5 0.1250 0.7500 0.8750
Ni6 0.1250 0.8750 0.2500
Ni7 0.2500 0.1250 0.8750
Ni8 0.2500 0.6250 0.3750
Ni9 0.3750 0.2500 0.6250
Ni10 0.3750 0.6250 0.7500
Ni11 0.5000 0.0000 0.0000
Ni12 0.5000 0.0000 0.5000
Ni13 0.5000 0.5000 0.0000
Ni14 0.5000 0.5000 0.5000
Ni15 0.6250 0.3750 0.2500
Ni16 0.6250 0.7500 0.3750
Ni17 0.7500 0.3750 0.6250
Ni18 0.7500 0.8750 0.1250
Ni19 0.8750 0.1250 0.7500
Ni20 0.8750 0.2500 0.1250
Br1 0.0002 0.1862 0.0987
Br2 0.0002 0.3141 0.9015
Br3 0.9998 0.6859 0.0985
Br4 0.9998 0.8138 0.9013
Br5 0.0875 0.6862 0.6859
Br6 0.0875 0.9013 0.4015
Br7 0.0985 0.9998 0.6859
Br8 0.0985 0.5987 0.4125
Br9 0.0987 0.0002 0.1862
Br10 0.0987 0.5985 0.9125
Br11 0.1862 0.0987 0.0002
Br12 0.1859 0.1862 0.5875
Br13 0.1859 0.4998 0.5985
Br14 0.1862 0.5875 0.1859
Br15 0.3138 0.3141 0.9125
Br16 0.3138 0.4998 0.4013
Br17 0.3141 0.9015 0.0002
Br18 0.3141 0.9125 0.3138
Br19 0.4013 0.3138 0.4998
Br20 0.4013 0.5875 0.9015
Br21 0.4015 0.0875 0.9013
Br22 0.4015 0.8141 0.5002
Br23 0.4125 0.0985 0.5987
Br24 0.4125 0.8141 0.8138
Br25 0.4998 0.4013 0.3138
Br26 0.5002 0.4015 0.8141
Br27 0.4998 0.5985 0.1859
Br28 0.5002 0.5987 0.6862
Br29 0.5875 0.1859 0.1862
Br30 0.5875 0.9015 0.4013
Br31 0.5985 0.1859 0.4998
Br32 0.5985 0.9125 0.0987
Br33 0.5987 0.4125 0.0985
Br34 0.5987 0.6862 0.5002
Br35 0.6859 0.0875 0.6862
Br36 0.6859 0.0985 0.9998
Br37 0.6862 0.5002 0.5987
Br38 0.6862 0.6859 0.0875
Br39 0.8138 0.4125 0.8141
Br40 0.8141 0.5002 0.4015
Br41 0.8141 0.8138 0.4125
Br42 0.8138 0.9013 0.9998
Br43 0.9013 0.9998 0.8138
Br44 0.9013 0.4015 0.0875
Br45 0.9015 0.0002 0.3141
Br46 0.9015 0.4013 0.5875
Br47 0.9125 0.0987 0.5985
Br48 0.9125 0.3138 0.3141